The following is a PBE calculation of crystalline Y12Ga6Sn at its relaxed geometry, from Alexandria.

Properties
- D(E_F) (states/eV/atom) = 0.932
- final energy (eV/atom) = -5.70
- energy of formation (eV per atom) = -0.45

Cell and atoms, written as CIF:
```
data_Y12Ga6Sn
_chemical_formula_sum 'Y24 Ga12 Sn2'
_cell_length_a 10.104
_cell_length_b 10.104
_cell_length_c 10.104
_cell_angle_alpha 90.00
_cell_angle_beta 90.00
_cell_angle_gamma 90.00
_symmetry_space_group_name_H-M 'I m -3'
_symmetry_Int_Tables_number 204
_symmetry_space_group_name_Hall '-I 2 2 3'
loop_
_atom_site_label
_atom_site_fract_x
_atom_site_fract_y
_atom_site_fract_z
Y1 0.000 0.188 0.295
Ga1 0.000 0.378 0.500
Sn1 0.000 0.000 0.000
```